1.
A plane-wave DFT calculation with PBE was carried out for a geometry-optimized HfReSi structure.

Cell lengths 4.6067, 4.6067, 5.2672 Å; angles 90.00, 90.00, 120.00 degrees
Atoms (fractional coordinates):
Hf 0.3333 0.6667 0.2500
Hf 0.6667 0.3333 0.7500
Re 0.0000 0.0000 0.0000
Re 0.0000 0.0000 0.5000
Si 0.3333 0.6667 0.7500
Si 0.6667 0.3333 0.2500

Results
* total DFT energy (no corrections): -56.3 eV for the cell shown
* spin magnetization: 0.0 μB per cell

***

2.
A plane-wave DFT calculation with PBE was carried out for a geometry-optimized PmTh2Mg6 structure.

Cell lengths 3.2191, 5.2428, 17.6338 Å; angles 90.00, 90.00, 90.00 degrees
Atoms (fractional coordinates):
Pm 0.0000 0.0000 0.0000
Th 0.5000 0.5000 0.3133
Th 0.5000 0.5000 0.6867
Mg 0.0000 0.5000 0.1459
Mg 0.0000 0.5000 0.8541
Mg 0.5000 0.0000 0.1880
Mg 0.5000 0.0000 0.8120
Mg 0.5000 0.5000 0.0000
Mg 0.5000 0.5000 0.5000

Results
* total DFT energy (no corrections): -24.4 eV for the cell shown
* spin magnetization: 0.3 μB per cell

***

3.
A plane-wave DFT calculation with PBE was carried out for a geometry-optimized Dy5Sn11 structure.

Cell lengths 21.5932, 21.5932, 21.5932 Å; angles 168.38, 168.19, 16.60 degrees
Atoms (fractional coordinates):
Dy 0.0000 0.0000 0.0000
Dy 0.3076 0.8076 0.5000
Dy 0.3825 0.3825 0.0000
Dy 0.6175 0.6175 0.0000
Dy 0.6924 0.1924 0.5000
Sn 0.0603 0.5603 0.5000
Sn 0.1315 0.1315 0.0000
Sn 0.1798 0.6798 0.5000
Sn 0.2497 0.2497 0.0000
Sn 0.4400 0.9400 0.5000
Sn 0.5000 0.5000 0.0000
Sn 0.5600 0.0600 0.5000
Sn 0.7503 0.7503 0.0000
Sn 0.8202 0.3202 0.5000
Sn 0.8685 0.8685 0.0000
Sn 0.9397 0.4397 0.5000

Results
* total DFT energy (no corrections): -76.0 eV for the cell shown
* spin magnetization: 0.0 μB per cell

***

4.
A plane-wave DFT calculation with PBE was carried out for a geometry-optimized DyTmAg2Se4 structure.

Cell lengths 6.7359, 6.7359, 4.2908 Å; angles 90.00, 90.00, 90.09 degrees
Atoms (fractional coordinates):
Dy 0.0000 0.0000 0.0000
Tm 0.5000 0.5000 0.5916
Ag 0.0000 0.5000 0.7958
Ag 0.5000 0.0000 0.7958
Se 0.2037 0.2037 0.5119
Se 0.3004 0.6996 0.0797
Se 0.6996 0.3004 0.0797
Se 0.7963 0.7963 0.5119

Results
* total DFT energy (no corrections): -38.4 eV for the cell shown
* spin magnetization: 0.0 μB per cell

***

5.
A plane-wave DFT calculation with PBE was carried out for a geometry-optimized Tb2Ga3Si structure.

Cell lengths 4.0808, 4.1639, 7.2100 Å; angles 90.00, 90.00, 90.00 degrees
Atoms (fractional coordinates):
Tb 0.0000 0.0000 0.0000
Tb 0.0000 0.5000 0.4882
Ga 0.5000 0.0000 0.6597
Ga 0.5000 0.5000 0.1605
Ga 0.5000 0.5000 0.8249
Si 0.5000 0.0000 0.3287

Results
* total DFT energy (no corrections): -27.8 eV for the cell shown
* spin magnetization: 0.0 μB per cell

***

6.
A plane-wave DFT calculation with PBE was carried out for a geometry-optimized Ta2BiIr structure.

Cell lengths 4.7458, 4.7458, 4.7458 Å; angles 60.00, 60.00, 60.00 degrees
Atoms (fractional coordinates):
Ta 0.0000 0.0000 0.0000
Ta 0.2500 0.2500 0.2500
Bi 0.5000 0.5000 0.5000
Ir 0.7500 0.7500 0.7500

Results
* total DFT energy (no corrections): -34.8 eV for the cell shown
* spin magnetization: 0.0 μB per cell

***

7.
A plane-wave DFT calculation with PBE was carried out for a geometry-optimized Ho2Sc2Br5N structure.

Cell lengths 8.9822, 8.9822, 7.9458 Å; angles 102.61, 102.61, 23.38 degrees
Atoms (fractional coordinates):
Ho 0.9998 0.9998 0.1997
Ho 0.0002 0.0002 0.8003
Sc 0.3726 0.3726 0.9359
Sc 0.6274 0.6274 0.0641
Br 0.1645 0.1645 0.3245
Br 0.1667 0.1667 0.8393
Br 0.5000 0.5000 0.5000
Br 0.8333 0.8333 0.1607
Br 0.8355 0.8355 0.6755
N 0.5000 0.5000 0.0000

Results
* total DFT energy (no corrections): -54.3 eV for the cell shown
* spin magnetization: 0.0 μB per cell

***

8.
A plane-wave DFT calculation with PBE was carried out for a geometry-optimized Gd2ScNiSn3Ir2 structure.

Cell lengths 3.6949, 7.5562, 7.5562 Å; angles 119.79, 90.00, 90.00 degrees
Atoms (fractional coordinates):
Gd 0.0000 0.2036 0.7964
Gd 0.0000 0.7964 0.2036
Sc 0.0000 0.3908 0.3908
Ni 0.0000 0.7931 0.7931
Sn 0.5000 0.0571 0.0571
Sn 0.5000 0.5392 0.7912
Sn 0.5000 0.7912 0.5392
Ir 0.5000 0.1405 0.4603
Ir 0.5000 0.4603 0.1405

Results
* total DFT energy (no corrections): -57.8 eV for the cell shown
* spin magnetization: 0.0 μB per cell

***

9.
A plane-wave DFT calculation with PBE was carried out for a geometry-optimized LaMgAlNi structure.

Cell lengths 5.4722, 5.4722, 7.7274 Å; angles 90.28, 90.28, 45.97 degrees
Atoms (fractional coordinates):
La 0.0550 0.0550 0.2627
La 0.9450 0.9450 0.7373
Mg 0.3439 0.3439 0.0556
Mg 0.6561 0.6561 0.9444
Al 0.3374 0.3374 0.4431
Al 0.6626 0.6626 0.5569
Ni 0.2200 0.2200 0.7240
Ni 0.7800 0.7800 0.2760

Results
* polymorph energy (0 for the lowest one): 0.03 eV/f.u.
* total DFT energy (no corrections): -34.9 eV for the cell shown
* spin magnetization: 0.0 μB per cell

***

10.
A plane-wave DFT calculation with PBE was carried out for a geometry-optimized K2Mg2Cd3 structure.

Cell lengths 9.5114, 9.5114, 9.5114 Å; angles 32.86, 32.86, 32.86 degrees
Atoms (fractional coordinates):
K 0.0000 0.0000 0.0000
K 0.4820 0.4820 0.4820
Mg 0.2449 0.2449 0.2449
Mg 0.7293 0.7293 0.7293
Cd 0.3591 0.3591 0.3591
Cd 0.6070 0.6070 0.6070
Cd 0.8790 0.8790 0.8790

Results
* total DFT energy (no corrections): -7.4 eV for the cell shown

***

11.
A plane-wave DFT calculation with PBE was carried out for a geometry-optimized Zr2GaFe3 structure.

Cell lengths 5.0190, 5.0190, 8.2003 Å; angles 90.00, 90.00, 120.00 degrees
Atoms (fractional coordinates):
Zr 0.3333 0.6667 0.0653
Zr 0.3333 0.6667 0.4347
Zr 0.6667 0.3333 0.5653
Zr 0.6667 0.3333 0.9347
Ga 0.0000 0.0000 0.0000
Ga 0.0000 0.0000 0.5000
Fe 0.1728 0.3455 0.7500
Fe 0.1728 0.8272 0.7500
Fe 0.3455 0.1728 0.2500
Fe 0.6545 0.8272 0.7500
Fe 0.8272 0.1728 0.2500
Fe 0.8272 0.6545 0.2500

Results
* total DFT energy (no corrections): -94.7 eV for the cell shown
* spin magnetization: 7.2 μB per cell

***

12.
A plane-wave DFT calculation with PBE was carried out for a geometry-optimized SmErCd structure.

Cell lengths 5.1261, 5.1261, 5.1261 Å; angles 60.00, 60.00, 60.00 degrees
Atoms (fractional coordinates):
Sm 0.0000 0.0000 0.0000
Er 0.2500 0.2500 0.2500
Cd 0.7500 0.7500 0.7500

Results
* formation enthalpy at 0 K: 0.5025 eV/atom
* total DFT energy (no corrections): -8.7 eV for the cell shown
* spin magnetization: 0.0 μB per cell

***

Question: Which value of total DFT energy (no corrections) does entry 3 give?
Answer: -76.0 eV for the cell shown

***

Question: Which value of total DFT energy (no corrections) does entry 12 give?
Answer: -8.7 eV for the cell shown

***

Question: What is the total DFT energy (no corrections) in the seventh record?
Answer: -54.3 eV for the cell shown